Here is an optimized crystal structure of GaSb2PO from Alexandria. Energies are from PBEsol.

Lattice parameters (Å, degrees): 4.4127 5.2193 5.2193 90.00 90.00 90.00
Site moments in Bohr magnetons follow the coordinates.
Sites, in units of the cell vectors:
O: 0.5000 0.5000 0.5000  0.74
Ga: 0.0000 0.0000 0.0000  -0.01
Sb: 0.0000 0.0000 0.5000  0.01
Sb: 0.0000 0.5000 0.0000  0.01
P: 0.5000 0.0000 0.0000  0.01

Results
mass density: 5.0 g cm⁻³
V: 120.2 Å³ per cell
formation energy (no corrections): 1.08 eV per atom
D(E_F): 4.5 states/eV per cell
uncorrected energy: -3.623 eV per atom
magnetization: 0.9 μB per cell

=====

Here is an optimized crystal structure of BeTc2Se from Alexandria. Energies are from PBEsol.

Lattice parameters (Å, degrees): 2.9084 4.1554 4.7574 102.06 90.00 110.48
Sites, in units of the cell vectors:
Be: 0.0000 0.0000 0.5000
Tc: 0.2661 0.5323 0.2701
Tc: 0.7339 0.4677 0.7299
Se: 0.5000 0.0000 0.0000

Results
mass density: 9.0 g cm⁻³
V: 52.5 Å³ per cell
formation energy (no corrections): 0.20 eV per atom
D(E_F): 3.2 states/eV per cell
uncorrected energy: -7.393 eV per atom
magnetization: 0.0 μB per cell

=====

Here is an optimized crystal structure of Co2W from Alexandria. Energies are from PBEsol.

Lattice parameters (Å, degrees): 2.6289 4.0879 6.7031 90.00 101.31 90.00
Sites, in units of the cell vectors:
W: 0.8892 0.2500 0.7784
W: 0.1108 0.7500 0.2216
Co: 0.2231 0.2500 0.4461
Co: 0.7769 0.7500 0.5539
Co: 0.4428 0.7500 0.8857
Co: 0.5572 0.2500 0.1143

Results
mass density: 14.2 g cm⁻³
V: 70.6 Å³ per cell
D(E_F): 6.3 states/eV per cell
uncorrected energy: -9.780 eV per atom
magnetization: 0.0 μB per cell

=====

Here is an optimized crystal structure of YReHg2 from Alexandria. Energies are from PBEsol.

Lattice parameters (Å, degrees): 4.1967 4.1967 5.3935 112.90 112.90 90.00
Site moments in Bohr magnetons follow the coordinates.
Sites, in units of the cell vectors:
Hg: 0.0000 0.0000 0.0000  -0.01
Hg: 0.7500 0.2500 0.5000  -0.01
Re: 0.5000 0.5000 0.0000  0.66
Y: 0.2500 0.7500 0.5000  0.03

Results
mass density: 14.2 g cm⁻³
V: 79.3 Å³ per cell
D(E_F): 2.5 states/eV per cell
uncorrected energy: -5.020 eV per atom
magnetization: 0.8 μB per cell

=====

Here is an optimized crystal structure of Ni2SeBr from Alexandria. Energies are from PBEsol.

Lattice parameters (Å, degrees): 3.5643 3.5633 6.6397 105.60 90.00 120.01
Sites, in units of the cell vectors:
Se: 0.5385 0.0770 0.6154
Br: 0.7203 0.4406 0.1608
Ni: 0.2543 0.5087 0.7633
Ni: 0.9869 0.9737 0.9605

Results
mass density: 6.6 g cm⁻³
V: 69.4 Å³ per cell
formation energy (no corrections): -0.15 eV per atom
D(E_F): 3.0 states/eV per cell
uncorrected energy: -4.662 eV per atom
magnetization: 0.0 μB per cell

=====

Here is an optimized crystal structure of Zr3TiIr from Alexandria. Energies are from PBEsol.

Lattice parameters (Å, degrees): 4.7167 4.7167 4.7167 90.00 90.00 90.00
Sites, in units of the cell vectors:
Ti: 0.0000 0.0000 0.0000
Ir: 0.5000 0.5000 0.5000
Zr: 0.5000 0.0000 0.0000
Zr: 0.0000 0.0000 0.5000
Zr: 0.0000 0.5000 0.0000

Results
mass density: 8.1 g cm⁻³
V: 104.9 Å³ per cell
D(E_F): 5.0 states/eV per cell
uncorrected energy: -8.159 eV per atom
magnetization: 0.0 μB per cell

=====

Among the records above, which one has the highest uncorrected energy? GaSb2PO